VASP calculation (PBE) on crystalline KBa2Te2S6 at its relaxed geometry.

extended XYZ file:
```
11
Lattice="7.516 -3.586 0.000 7.516 3.586 0.000 -5.941 0.000 7.363" Properties=species:S:1:pos:R:3 pbc="T T T"
K 0.000 0.000 0.000
Ba -1.021 0.000 4.444
Ba 10.113 0.000 2.919
Te 2.697 0.000 5.240
Te 6.394 0.000 2.123
S 5.360 2.241 1.844
S 3.731 2.241 5.518
S 1.867 0.000 2.976
S 7.224 0.000 4.386
S 5.360 -2.241 1.844
S 3.731 -2.241 5.518
```

As for the formation energy (no corrections): -0.822 eV/atom. The value obtained for the total energy is -45.034 eV per formula unit. As for the total magnetization: 0.00 μB/f.u.